# 1
The following is a DFT calculation (PBE) of an optimized crystal structure of PrNd2Zn3Ga2Au.

Computed properties:
Energy (eV per atom): -3.59
Crystal system: orthorhombic
Theoretical density (g/cm3): 7.97
Size of the total moment (μB per formula unit): 0.002

Cell: 4.383 12.575 7.273 Å, 90.00 90.00 90.00°
Space group Amm2 (No. 38)
One atom of each set of equivalent atoms:
Pr: 0.000 0.000 0.000 [2 per cell]
Nd: 0.000 0.208 0.377 [4 per cell]
Zn: 0.500 0.000 0.343 [2 per cell]
Zn: 0.500 0.122 0.705 [4 per cell]
Ga: 0.500 0.168 0.086 [4 per cell]
Au: 0.000 0.000 0.583 [2 per cell]

=====

# 2
The following is a DFT calculation (PBE) of an optimized crystal structure of DyHoCl2O2.

Computed properties:
Energy (eV per atom): -6.87
Crystal system: tetragonal
Theoretical density (g/cm3): 6.55
Size of the total moment (μB per formula unit): 0.002

Cell: 3.783 3.783 7.626 Å, 90.00 90.00 90.00°
Space group P4mm (No. 99)
One atom of each set of equivalent atoms:
Dy: 0.000 0.000 0.000 [1 per cell]
Ho: 0.500 0.500 0.303 [1 per cell]
Cl: 0.000 0.000 0.493 [1 per cell]
Cl: 0.500 0.500 0.811 [1 per cell]
O: 0.000 0.500 0.153 [2 per cell]

=====

# 3
The following is a DFT calculation (PBE) of an optimized crystal structure of PrGa2AgAu.

Computed properties:
Energy (eV per atom): -3.88
Crystal system: tetragonal
Theoretical density (g/cm3): 9.21
Size of the total moment (μB per formula unit): 0.004

Cell: 4.472 4.472 10.550 Å, 90.00 90.00 90.00°
Space group P4/nmm (No. 129, origin choice 2)
One atom of each set of equivalent atoms:
Pr: 0.250 0.250 0.249 [2 per cell]
Ga: 0.250 0.250 0.868 [2 per cell]
Ga: 0.250 0.750 0.500 [2 per cell]
Ag: 0.250 0.250 0.630 [2 per cell]
Au: 0.250 0.750 0.000 [2 per cell]

=====

# 4
The following is a DFT calculation (PBE) of an optimized crystal structure of CsB4Ir.

Computed properties:
Energy (eV per atom): -5.00
Crystal system: orthorhombic
Polymorph energy (0 for the lowest one) (kJ/mol of formula units): 322.7
Theoretical density (g/cm3): 8.17
Size of the total moment (μB per formula unit): 0.000

Cell: 2.829 6.009 8.812 Å, 90.00 90.00 90.00°
Space group Immm (No. 71)
One atom of each set of equivalent atoms:
Cs: 0.000 0.000 0.000 [2 per cell]
B: 0.000 0.359 0.214 [8 per cell]
Ir: 0.000 0.000 0.500 [2 per cell]